VASP calculation (PBE) on an optimized crystal structure of Sr2PmCrN4.

```
Sr2PmCrN4
1.0
7.434 0.000 0.000
0.000 7.069 0.000
0.000 0.000 5.468
Sr Pm Cr N
4 2 2 8
Cartesian
1.819 1.138 0.000
1.898 5.931 2.734
5.536 5.931 2.734
5.615 1.138 0.000
0.000 2.632 2.798
3.717 4.437 0.064
0.000 4.714 0.239
3.717 2.356 2.973
0.000 2.957 5.243
0.000 4.714 2.005
1.553 5.571 5.298
2.164 1.498 2.565
3.717 2.355 4.739
3.717 4.112 2.509
5.270 1.498 2.565
5.881 5.571 5.298
```

Summary:
symmetry = Pmn2_1, No. 31
total energy = -57.70 eV per formula unit
ΔE_f (raw) = -0.83 eV/atom
mass density = 4.9 Mg/m³


VASP calculation (PBE) on an optimized crystal structure of Ho2PuSi6.

```
Ho2PuSi6
1.0
7.026 0.000 0.000
-3.513 6.085 0.000
0.000 0.000 3.903
Ho Pu Si
2 1 6
Cartesian
0.000 4.057 0.000
3.513 2.028 0.000
0.000 0.000 0.000
-1.171 2.029 1.952
-2.342 4.056 1.952
2.343 0.000 1.952
1.171 2.029 1.952
4.684 0.000 1.952
2.342 4.056 1.952
```

Summary:
symmetry = P6/mmm, No. 191
total energy = -60.79 eV per formula unit
ΔE_f (raw) = -0.53 eV/atom
mass density = 7.4 Mg/m³


VASP calculation (PBE) on an optimized crystal structure of La2Pr2NdCd5.

```
La2Pr2NdCd5
1.0
10.902 0.000 0.000
0.000 10.902 0.000
0.000 0.000 4.971
La Pr Nd Cd
4 4 2 10
Cartesian
1.918 3.533 0.000
3.533 8.984 0.000
7.368 1.918 0.000
8.984 7.368 0.000
1.363 6.814 0.000
4.088 1.363 0.000
6.814 9.539 0.000
9.539 4.088 0.000
0.000 0.000 0.000
5.451 5.451 0.000
0.000 5.451 2.485
0.769 8.821 2.485
2.081 0.769 2.485
3.370 6.220 2.485
4.682 3.370 2.485
5.451 0.000 2.485
6.220 7.532 2.485
7.532 4.682 2.485
8.821 10.133 2.485
10.133 2.081 2.485
```

Summary:
symmetry = P4/mbm, No. 127
total energy = -30.71 eV per formula unit
mass density = 7.1 Mg/m³


VASP calculation (PBE) on an optimized crystal structure of Na2IrPbBr8.

```
Na2IrPbBr8
1.0
6.476 0.000 0.000
0.364 6.886 0.000
0.006 0.003 8.646
Na Ir Pb Br
2 1 1 8
Cartesian
0.005 0.002 2.036
6.841 6.887 6.610
3.420 3.443 0.000
3.423 3.444 4.323
1.719 5.788 4.324
1.906 2.552 1.790
1.911 2.550 6.859
2.158 5.616 8.644
4.687 1.273 0.002
4.934 4.339 1.787
4.940 4.337 6.856
5.126 1.101 4.322
```

Summary:
symmetry = P-1, No. 2
total energy = -37.79 eV per formula unit
ΔE_f (raw) = -0.77 eV/atom
mass density = 4.7 Mg/m³